! Si5C3, relaxed, DFT PBE; values from VASP
&SYSTEM
  ibrav = 0, nat = 8, ntyp = 2
/
ATOMIC_SPECIES
Si 28.09 Si.upf
C 12.01 C.upf
CELL_PARAMETERS angstrom
4.2753 2.4683 2.7623
-4.2753 2.4683 2.7623
0.0000 -4.9367 2.7623
ATOMIC_POSITIONS crystal
Si 0.0000 0.0000 0.0000
Si 0.1709 0.9737 0.4554
Si 0.3305 0.3305 0.3305
Si 0.4554 0.1709 0.9737
Si 0.9737 0.4554 0.1709
C 0.2073 0.9823 0.7738
C 0.7738 0.2073 0.9823
C 0.9823 0.7738 0.2073
! Electronic total energy ... -6.13 eV per atom
! Spin magnetization ... 0.00 μB/cell
! Relative energy among the computed polymorphs ... 308 meV/atom

=====

! Si2C, relaxed, DFT PBE; values from VASP
&SYSTEM
  ibrav = 0, nat = 12, ntyp = 2
/
ATOMIC_SPECIES
Si 28.09 Si.upf
C 12.01 C.upf
CELL_PARAMETERS angstrom
-1.3987 1.3987 17.1077
1.3987 -1.3987 17.1077
1.3987 1.3987 -17.1077
ATOMIC_POSITIONS crystal
Si 0.0973 0.3473 0.7500
Si 0.2844 0.5344 0.7500
Si 0.3473 0.0973 0.2500
Si 0.4656 0.7156 0.7500
Si 0.5344 0.2844 0.2500
Si 0.6527 0.9027 0.7500
Si 0.7156 0.4656 0.2500
Si 0.9027 0.6527 0.2500
C 0.0545 0.8045 0.2500
C 0.1955 0.9455 0.2500
C 0.8045 0.0545 0.7500
C 0.9455 0.1955 0.7500
! Electronic total energy ... -5.90 eV per atom
! Spin magnetization ... 0.00 μB/cell
! Relative energy among the computed polymorphs ... 444 meV/atom

=====

! SiC, relaxed, DFT PBE; values from VASP
&SYSTEM
  ibrav = 0, nat = 12, ntyp = 2
/
ATOMIC_SPECIES
Si 28.09 Si.upf
C 12.01 C.upf
CELL_PARAMETERS angstrom
5.3570 0.0000 0.0000
0.0000 5.3570 0.0000
0.0000 0.0000 5.3570
ATOMIC_POSITIONS crystal
Si 0.0000 0.2500 0.5000
Si 0.0000 0.7500 0.5000
Si 0.2500 0.5000 0.0000
Si 0.5000 0.0000 0.2500
Si 0.5000 0.0000 0.7500
Si 0.7500 0.5000 0.0000
C 0.0000 0.5000 0.2500
C 0.0000 0.5000 0.7500
C 0.2500 0.0000 0.5000
C 0.5000 0.2500 0.0000
C 0.5000 0.7500 0.0000
C 0.7500 0.0000 0.5000
! Electronic total energy ... -7.30 eV per atom
! Spin magnetization ... 0.00 μB/cell
! Relative energy among the computed polymorphs ... 225 meV/atom

=====

! SiC, relaxed, DFT PBE; values from VASP
&SYSTEM
  ibrav = 0, nat = 4, ntyp = 2
/
ATOMIC_SPECIES
Si 28.09 Si.upf
C 12.01 C.upf
CELL_PARAMETERS angstrom
3.1580 0.0000 0.0000
1.5790 2.7358 0.0000
1.4874 0.5730 6.7644
ATOMIC_POSITIONS crystal
Si 0.1120 0.1354 0.1491
Si 0.8880 0.8646 0.8509
C 0.2297 0.2028 0.8280
C 0.7703 0.7972 0.1720
! Electronic total energy ... -7.08 eV per atom
! Spin magnetization ... 0.00 μB/cell
! Relative energy among the computed polymorphs ... 449 meV/atom

=====

! Si2C, relaxed, DFT PBE; values from VASP
&SYSTEM
  ibrav = 0, nat = 6, ntyp = 2
/
ATOMIC_SPECIES
Si 28.09 Si.upf
C 12.01 C.upf
CELL_PARAMETERS angstrom
-2.3824 2.3824 2.8904
2.3824 -2.3824 2.8904
2.3824 2.3824 -2.8904
ATOMIC_POSITIONS crystal
Si 0.1813 0.6813 0.8626
Si 0.3187 0.1813 0.5000
Si 0.6813 0.8187 0.5000
Si 0.8187 0.3187 0.1374
C 0.2500 0.2500 0.0000
C 0.7500 0.7500 0.0000
! Electronic total energy ... -5.50 eV per atom
! Spin magnetization ... 0.00 μB/cell
! Relative energy among the computed polymorphs ... 840 meV/atom

=====

! SiC, relaxed, DFT PBE; values from VASP
&SYSTEM
  ibrav = 0, nat = 6, ntyp = 2
/
ATOMIC_SPECIES
Si 28.09 Si.upf
C 12.01 C.upf
CELL_PARAMETERS angstrom
5.1469 0.0000 0.0000
-2.5734 4.4573 0.0000
0.0000 0.0000 2.7365
ATOMIC_POSITIONS crystal
Si 0.0000 0.0000 0.0000
Si 0.3333 0.6667 0.5000
Si 0.6667 0.3333 0.5000
C 0.0000 0.5000 0.0000
C 0.5000 0.0000 0.0000
C 0.5000 0.5000 0.0000
! Electronic total energy ... -5.90 eV per atom
! Spin magnetization ... 0.00 μB/cell
! Relative energy among the computed polymorphs ... 1631 meV/atom

=====

! Si5C4, relaxed, DFT PBE; values from VASP
&SYSTEM
  ibrav = 0, nat = 9, ntyp = 2
/
ATOMIC_SPECIES
Si 28.09 Si.upf
C 12.01 C.upf
CELL_PARAMETERS angstrom
-3.1086 3.1086 2.9605
3.1086 -3.1086 2.9605
3.1086 3.1086 -2.9605
ATOMIC_POSITIONS crystal
Si 0.0000 0.0000 0.0000
Si 0.2997 0.2997 0.5993
Si 0.2997 0.7003 0.0000
Si 0.7003 0.2997 0.0000
Si 0.7003 0.7003 0.4007
C 0.0000 0.3862 0.3862
C 0.0000 0.6138 0.6138
C 0.3862 0.0000 0.3862
C 0.6138 0.0000 0.6138
! Electronic total energy ... -6.05 eV per atom
! Spin magnetization ... 0.00 μB/cell
! Relative energy among the computed polymorphs ... 0 meV/atom

=====

! SiC5, relaxed, DFT PBE; values from VASP
&SYSTEM
  ibrav = 0, nat = 6, ntyp = 2
/
ATOMIC_SPECIES
Si 28.09 Si.upf
C 12.01 C.upf
CELL_PARAMETERS angstrom
3.5921 0.0000 0.0000
-1.7961 3.1109 0.0000
0.0000 0.0000 7.7008
ATOMIC_POSITIONS crystal
Si 0.0000 0.0000 0.0000
C 0.0000 0.7738 0.5000
C 0.2262 0.2262 0.5000
C 0.3333 0.6667 0.0000
C 0.6667 0.3333 0.0000
C 0.7738 0.0000 0.5000
! Electronic total energy ... -5.58 eV per atom
! Spin magnetization ... 0.66 μB/cell
! Relative energy among the computed polymorphs ... 2103 meV/atom

=====

! SiC, relaxed, DFT PBE; values from VASP
&SYSTEM
  ibrav = 0, nat = 4, ntyp = 2
/
ATOMIC_SPECIES
Si 28.09 Si.upf
C 12.01 C.upf
CELL_PARAMETERS angstrom
0.0000 2.7833 2.7833
2.7833 0.0000 2.7833
2.7833 2.7833 0.0000
ATOMIC_POSITIONS crystal
Si 0.1250 0.1250 0.1250
Si 0.8750 0.8750 0.8750
C 0.3750 0.3750 0.3750
C 0.6250 0.6250 0.6250
! Electronic total energy ... -4.93 eV per atom
! Spin magnetization ... 0.00 μB/cell
! Relative energy among the computed polymorphs ... 2600 meV/atom

=====

! SiC, relaxed, DFT PBE; values from VASP
&SYSTEM
  ibrav = 0, nat = 8, ntyp = 2
/
ATOMIC_SPECIES
Si 28.09 Si.upf
C 12.01 C.upf
CELL_PARAMETERS angstrom
5.3222 0.0000 0.0000
0.0000 5.3222 0.0000
0.0000 0.0000 3.0929
ATOMIC_POSITIONS crystal
Si 0.1756 0.1756 0.0000
Si 0.3244 0.6756 0.5000
Si 0.6756 0.3244 0.5000
Si 0.8244 0.8244 0.0000
C 0.1846 0.8154 0.0000
C 0.3154 0.3154 0.5000
C 0.6846 0.6846 0.5000
C 0.8154 0.1846 0.0000
! Electronic total energy ... -7.45 eV per atom
! Spin magnetization ... 0.00 μB/cell
! Relative energy among the computed polymorphs ... 81 meV/atom

=====

! Si2C3, relaxed, DFT PBE; values from VASP
&SYSTEM
  ibrav = 0, nat = 5, ntyp = 2
/
ATOMIC_SPECIES
Si 28.09 Si.upf
C 12.01 C.upf
CELL_PARAMETERS angstrom
3.0612 0.0000 0.0000
-1.5306 2.6511 0.0000
0.0000 0.0000 6.2069
ATOMIC_POSITIONS crystal
Si 0.3333 0.6667 0.2640
Si 0.6667 0.3333 0.7360
C 0.0000 0.0000 0.5000
C 0.3333 0.6667 0.8267
C 0.6667 0.3333 0.1733
! Electronic total energy ... -6.34 eV per atom
! Spin magnetization ... 0.00 μB/cell
! Relative energy among the computed polymorphs ... 657 meV/atom

=====

! SiC2, relaxed, DFT PBE; values from VASP
&SYSTEM
  ibrav = 0, nat = 3, ntyp = 2
/
ATOMIC_SPECIES
Si 28.09 Si.upf
C 12.01 C.upf
CELL_PARAMETERS angstrom
1.4890 0.8597 3.3785
-1.4890 0.8597 3.3785
0.0000 -1.7194 3.3785
ATOMIC_POSITIONS crystal
Si 0.0000 0.0000 0.0000
C 0.2338 0.2338 0.2338
C 0.7662 0.7662 0.7662
! Electronic total energy ... -6.13 eV per atom
! Spin magnetization ... 0.00 μB/cell
! Relative energy among the computed polymorphs ... 1499 meV/atom

=====

! Si3C4, relaxed, DFT PBE; values from VASP
&SYSTEM
  ibrav = 0, nat = 7, ntyp = 2
/
ATOMIC_SPECIES
Si 28.09 Si.upf
C 12.01 C.upf
CELL_PARAMETERS angstrom
4.4161 0.0000 0.0000
0.0000 4.4161 0.0000
0.0000 0.0000 4.4161
ATOMIC_POSITIONS crystal
Si 0.0000 0.0000 0.5000
Si 0.0000 0.5000 0.0000
Si 0.5000 0.0000 0.0000
C 0.2269 0.2269 0.2269
C 0.2269 0.7731 0.7731
C 0.7731 0.2269 0.7731
C 0.7731 0.7731 0.2269
! Electronic total energy ... -6.86 eV per atom
! Spin magnetization ... 0.00 μB/cell
! Relative energy among the computed polymorphs ... 0 meV/atom